(1)
The following is a GGA-PBE calculation of an optimized crystal structure of CdHW3, from the Alexandria database.

CIF file:
```
data_CdHW3
_chemical_formula_sum 'Cd1 H1 W3'
_cell_length_a 4.102
_cell_length_b 4.102
_cell_length_c 4.102
_cell_angle_alpha 90.00
_cell_angle_beta 90.00
_cell_angle_gamma 90.00
_space_group_name_H-M_alt 'P m -3 m'
_space_group_IT_number 221
_space_group_name_Hall '-P 4 2 3'
loop_
_atom_site_label
_atom_site_type_symbol
_atom_site_fract_x
_atom_site_fract_y
_atom_site_fract_z
Cd1 Cd 0.000 0.000 0.000
H1 H 0.500 0.500 0.500
W1 W 0.000 0.500 0.500
```

Results
total magnetization: 0.0 μB per cell
uncorrected energy: -8.09 eV per atom

(2)
The following is a GGA-PBE calculation of an optimized crystal structure of CdReSe4, from the Alexandria database.

CIF file:
```
data_CdReSe4
_chemical_formula_sum 'Cd4 Re4 Se16'
_cell_length_a 8.068
_cell_length_b 8.068
_cell_length_c 8.068
_cell_angle_alpha 90.00
_cell_angle_beta 90.00
_cell_angle_gamma 90.00
_space_group_name_H-M_alt 'F -4 3 m'
_space_group_IT_number 216
_space_group_name_Hall 'F -4 2 3'
loop_
_atom_site_label
_atom_site_type_symbol
_atom_site_fract_x
_atom_site_fract_y
_atom_site_fract_z
Cd1 Cd 0.000 0.000 0.000
Re1 Re 0.250 0.250 0.750
Se1 Se 0.124 0.124 0.376
```

Results
total magnetization: 16.4 μB per cell
uncorrected energy: -3.35 eV per atom

(3)
The following is a GGA-PBE calculation of an optimized crystal structure of Pm8Ho2Tm, from the Alexandria database.

CIF file:
```
data_Pm8Ho2Tm
_chemical_formula_sum 'Pm16 Ho4 Tm2'
_cell_length_a 19.158
_cell_length_b 7.046
_cell_length_c 5.696
_cell_angle_alpha 90.00
_cell_angle_beta 93.55
_cell_angle_gamma 90.00
_space_group_name_H-M_alt 'C 1 2/m 1'
_space_group_IT_number 12
loop_
_space_group_symop_operation_xyz
'x,y,z'
'-x,-y,-z'
'-x,y,-z'
'x,-y,z'
'x+1/2,y+1/2,z'
'-x+1/2,-y+1/2,-z'
'-x+1/2,y+1/2,-z'
'x+1/2,-y+1/2,z'
loop_
_atom_site_label
_atom_site_type_symbol
_atom_site_fract_x
_atom_site_fract_y
_atom_site_fract_z
Pm1 Pm 0.045 0.000 0.235
Pm2 Pm 0.131 0.234 0.732
Pm3 Pm 0.187 0.500 0.229
Ho1 Ho 0.216 0.000 0.256
Tm1 Tm 0.000 0.500 0.000
```

Results
total magnetization: 0.0 μB per cell
formation energy: 0.162 eV/atom
uncorrected energy: -4.53 eV per atom

(4)
The following is a GGA-PBE calculation of an optimized crystal structure of La5NdDy5, from the Alexandria database.

CIF file:
```
data_La5NdDy5
_chemical_formula_sum 'La5 Nd1 Dy5'
_cell_length_a 6.2305
_cell_length_b 6.2305
_cell_length_c 11.8436
_cell_angle_alpha 90.00
_cell_angle_beta 90.00
_cell_angle_gamma 120.00
_space_group_name_H-M_alt 'P -6 m 2'
_space_group_IT_number 187
_space_group_name_Hall 'P -6 2'
loop_
_atom_site_label
_atom_site_type_symbol
_atom_site_fract_x
_atom_site_fract_y
_atom_site_fract_z
La1 La 0.0000 0.0000 0.0000
La2 La 0.3333 0.6667 0.3182
La3 La 0.6667 0.3333 0.1514
Nd1 Nd 0.3333 0.6667 0.0000
Dy1 Dy 0.0000 0.0000 0.2652
Dy2 Dy 0.3322 0.1661 0.5000
```

Results
total magnetization: 0.0 μB per cell
formation energy: 0.258 eV/atom
uncorrected energy: -4.51 eV per atom

(5)
The following is a GGA-PBE calculation of an optimized crystal structure of KTa2, from the Alexandria database.

CIF file:
```
data_KTa2
_chemical_formula_sum 'K4 Ta8'
_cell_length_a 6.994
_cell_length_b 6.994
_cell_length_c 6.994
_cell_angle_alpha 90.00
_cell_angle_beta 90.00
_cell_angle_gamma 90.00
_space_group_name_H-M_alt 'P a -3'
_space_group_IT_number 205
_space_group_name_Hall '-P 2ac 2ab 3'
loop_
_atom_site_label
_atom_site_type_symbol
_atom_site_fract_x
_atom_site_fract_y
_atom_site_fract_z
K1 K 0.000 0.000 0.000
Ta1 Ta 0.096 0.596 0.904
```

Results
total magnetization: 0.0 μB per cell
formation energy: 3.050 eV/atom
uncorrected energy: -5.22 eV per atom

(6)
The following is a GGA-PBE calculation of an optimized crystal structure of Pm2Ga5Pt3, from the Alexandria database.

CIF file:
```
data_Pm2Ga5Pt3
_chemical_formula_sum 'Pm8 Ga20 Pt12'
_cell_length_a 10.373
_cell_length_b 12.625
_cell_length_c 5.850
_cell_angle_alpha 90.00
_cell_angle_beta 90.00
_cell_angle_gamma 90.00
_space_group_name_H-M_alt 'I b a m'
_space_group_IT_number 72
_space_group_name_Hall '-I 2 2c'
loop_
_atom_site_label
_atom_site_type_symbol
_atom_site_fract_x
_atom_site_fract_y
_atom_site_fract_z
Pm1 Pm 0.226 0.136 0.000
Ga1 Ga 0.000 0.000 0.250
Ga2 Ga 0.000 0.286 0.250
Ga3 Ga 0.162 0.400 0.000
Pt1 Pt 0.000 0.500 0.250
Pt2 Pt 0.104 0.143 0.500
```

Results
total magnetization: 0.0 μB per cell
formation energy: -0.915 eV/atom
uncorrected energy: -5.19 eV per atom

- Number 2 is which compound?
  CdReSe4

- Number 6 is which compound?
  Pm2Ga5Pt3

- The highest total magnetization belongs to which entry?
  CdReSe4

- What is the uncorrected energy in the first record?
  -8.09 eV per atom